Material: K3UGa2O8
Method: DFT, PBE
State: relaxed

a b c (Å): 5.9172 5.9172 7.7817
angles (deg): 90.00 90.00 120.00
With the nearest neighbours (Å) after each atom.
Positions (direct):
K 0.0000 0.0000 0.0000  12 O 3.17-3.42
K 0.3333 0.6667 0.6860  1 O 2.54
K 0.6667 0.3333 0.3140  1 O 2.54
U 0.0000 0.0000 0.5000  6 O 2.09
Ga 0.3333 0.6667 0.2433  4 O 1.80-1.89
Ga 0.6667 0.3333 0.7567  4 O 1.80-1.89
O 0.1657 0.3315 0.3436  1 Ga 1.89, 1 U 2.09
O 0.1657 0.8343 0.3436  1 Ga 1.89, 1 U 2.09
O 0.3315 0.1657 0.6564  1 Ga 1.89, 1 U 2.09
O 0.3333 0.6667 0.0124  1 Ga 1.80
O 0.6667 0.3333 0.9876  1 Ga 1.80
O 0.6685 0.8343 0.3436  1 Ga 1.89, 1 U 2.09
O 0.8343 0.1657 0.6564  1 Ga 1.89, 1 U 2.09
O 0.8343 0.6685 0.6564  1 Ga 1.89, 1 U 2.09

- crystal system = trigonal
- E_form (uncorrected) (eV per atom) = -2.05
- mass density (g/cm3) = 4.38
- DFT total energy (eV per atom) = -6.362
- total magnetic moment (μB per formula unit) = 1.00



Material: CrIrCl2
Method: DFT, PBE
State: relaxed

a b c (Å): 3.3801 4.0897 5.0736
angles (deg): 90.00 92.56 90.00
With the nearest neighbours (Å) after each atom.
Positions (direct):
Cr 0.0000 0.0000 0.0000  4 Cl 2.58
Ir 0.5000 0.0000 0.5000  4 Cl 2.49
Cl 0.2741 0.5000 0.2577  2 Ir 2.49, 2 Cr 2.58
Cl 0.7259 0.5000 0.7423  2 Ir 2.49, 2 Cr 2.58

- crystal system = monoclinic
- E_form (uncorrected) (eV per atom) = 0.46
- mass density (g/cm3) = 7.47
- DFT total energy (eV per atom) = -5.084
- total magnetic moment (μB per formula unit) = 4.28



Material: AlRh2Pb2
Method: DFT, PBE
State: relaxed

a b c (Å): 6.7216 6.7216 4.3917
angles (deg): 90.00 90.00 90.00
With the nearest neighbours (Å) after each atom.
Positions (direct):
Al 0.0000 0.0000 0.0000  4 Rh 2.55
Al 0.5000 0.5000 0.0000  4 Rh 2.55
Rh 0.1515 0.3485 0.0000  2 Al 2.55, 2 Pb 2.81
Rh 0.3485 0.8485 0.0000  2 Al 2.55, 2 Pb 2.81
Rh 0.6515 0.1515 0.0000  2 Al 2.55, 2 Pb 2.81
Rh 0.8485 0.6515 0.0000  2 Al 2.55, 2 Pb 2.81
Pb 0.1644 0.6644 0.5000  6 Rh 2.81-3.06, 1 Pb 3.13
Pb 0.3356 0.1644 0.5000  6 Rh 2.81-3.06, 1 Pb 3.13
Pb 0.6644 0.8356 0.5000  6 Rh 2.81-3.06, 1 Pb 3.13
Pb 0.8356 0.3356 0.5000  6 Rh 2.81-3.06, 1 Pb 3.13

- crystal system = tetragonal
- mass density (g/cm3) = 10.83
- ΔH_f (0 K) (eV per formula unit) = -0.6
- DFT total energy (eV per atom) = -5.285
- total magnetic moment (μB per formula unit) = 0.00



Material: Ba3In8Ag3
Method: DFT, PBE
State: relaxed

a b c (Å): 9.4286 9.4286 10.7667
angles (deg): 124.53 124.53 31.04
With the nearest neighbours (Å) after each atom.
Positions (direct):
Ba 0.0000 0.0000 0.0000  8 In 3.68-3.72, 4 Ag 3.71
Ba 0.2937 0.2937 0.2913  10 In 3.52-3.84, 5 Ag 3.59-3.94
Ba 0.7063 0.7063 0.7087  10 In 3.52-3.84, 5 Ag 3.59-3.94
In 0.1401 0.1401 0.4274  5 In 3.06-3.31, 1 Ag 3.07
In 0.1442 0.1442 0.8642  4 Ag 2.93-3.19
In 0.3444 0.3444 0.7164  1 Ag 2.91, 4 In 3.06-3.14
In 0.4964 0.4964 0.3168  3 Ag 2.93-3.18, 1 In 3.12
In 0.5036 0.5036 0.6832  3 Ag 2.93-3.18, 1 In 3.12
In 0.6556 0.6556 0.2836  1 Ag 2.91, 4 In 3.06-3.14
In 0.8558 0.8558 0.1358  4 Ag 2.93-3.19
In 0.8599 0.8599 0.5726  5 In 3.06-3.31, 1 Ag 3.07
Ag 0.0000 0.0000 0.5000  8 In 3.07-3.19
Ag 0.3461 0.3461 0.9886  5 In 2.91-3.08
Ag 0.6539 0.6539 0.0114  5 In 2.91-3.08

- crystal system = monoclinic
- mass density (g/cm3) = 6.88
- ΔH_f (0 K) (eV per formula unit) = -4.3
- DFT total energy (eV per atom) = -2.895
- total magnetic moment (μB per formula unit) = 0.00



Material: CsCu2BiCl8
Method: DFT, PBE
State: relaxed

a b c (Å): 10.3746 10.3746 10.3746
angles (deg): 37.29 37.29 37.29
With the nearest neighbours (Å) after each atom.
Positions (direct):
Cs 0.0000 0.0000 0.0000  12 Cl 3.85-3.91
Cu 0.2437 0.2437 0.2437  4 Cl 2.19-2.29
Cu 0.7563 0.7563 0.7563  4 Cl 2.19-2.29
Bi 0.5000 0.5000 0.5000  6 Cl 2.73
Cl 0.1103 0.4453 0.7780  1 Cu 2.29
Cl 0.2220 0.8897 0.5547  1 Cu 2.29
Cl 0.3194 0.3194 0.3194  1 Cu 2.19
Cl 0.4453 0.7780 0.1103  1 Cu 2.29
Cl 0.5547 0.2220 0.8897  1 Cu 2.29
Cl 0.6806 0.6806 0.6806  1 Cu 2.19
Cl 0.7780 0.1103 0.4453  1 Cu 2.29
Cl 0.8897 0.5547 0.2220  1 Cu 2.29

- crystal system = trigonal
- E_form (uncorrected) (eV per atom) = -0.87
- mass density (g/cm3) = 3.40
- DFT total energy (eV per atom) = -3.176
- total magnetic moment (μB per formula unit) = 2.11



Material: La2Nd3Ru2
Method: DFT, PBE
State: relaxed

a b c (Å): 6.5501 6.5501 9.1492
angles (deg): 112.98 112.98 35.24
With the nearest neighbours (Å) after each atom.
Positions (direct):
La 0.1719 0.1719 0.3027  2 Ru 2.76
La 0.8281 0.8281 0.6973  2 Ru 2.76
Nd 0.3807 0.3807 0.0828  3 Ru 2.94-3.10
Nd 0.5000 0.5000 0.5000  4 Ru 3.15, 2 Nd 3.48
Nd 0.6193 0.6193 0.9172  3 Ru 2.94-3.10
Ru 0.1881 0.1881 0.7351  2 La 2.76, 2 Nd 2.94
Ru 0.8119 0.8119 0.2649  2 La 2.76, 2 Nd 2.94

- crystal system = monoclinic
- mass density (g/cm3) = 7.33
- ΔH_f (0 K) (eV per formula unit) = -1.6
- DFT total energy (eV per atom) = -6.332
- total magnetic moment (μB per formula unit) = 0.00



Material: Cs2HoAgF6
Method: DFT, PBE
State: relaxed

a b c (Å): 6.6132 9.3691 6.6158
angles (deg): 90.00 90.00 90.00
With the nearest neighbours (Å) after each atom.
Positions (direct):
Cs 0.2500 0.0001 0.2499  12 F 3.31-3.32
Cs 0.2500 0.4999 0.2499  12 F 3.31-3.32
Cs 0.7500 0.9999 0.7501  12 F 3.31-3.32
Cs 0.7500 0.5001 0.7501  12 F 3.31-3.32
Ho 0.2500 0.2500 0.7496  6 F 2.17-2.18
Ho 0.7500 0.7500 0.2504  6 F 2.17-2.18
Ag 0.2500 0.7500 0.7503  6 F 2.50-2.51
Ag 0.7500 0.2500 0.2497  6 F 2.50-2.51
F 0.0175 0.2500 0.5173  1 Ho 2.17
F 0.0175 0.2500 0.9821  1 Ho 2.17
F 0.2500 0.0178 0.7495  1 Ho 2.18
F 0.2500 0.4822 0.7495  1 Ho 2.18
F 0.4825 0.2500 0.5173  1 Ho 2.17
F 0.4825 0.2500 0.9821  1 Ho 2.17
F 0.5175 0.7500 0.0179  1 Ho 2.17
F 0.5175 0.7500 0.4827  1 Ho 2.17
F 0.7500 0.5178 0.2505  1 Ho 2.18
F 0.7500 0.9822 0.2505  1 Ho 2.18
F 0.9825 0.7500 0.0179  1 Ho 2.17
F 0.9825 0.7500 0.4827  1 Ho 2.17

- crystal system = orthorhombic
- E_form (uncorrected) (eV per atom) = -2.99
- mass density (g/cm3) = 5.29
- DFT total energy (eV per atom) = -5.026
- total magnetic moment (μB per formula unit) = 0.05



Material: Sr2Cd4In5
Method: DFT, PBE
State: relaxed

a b c (Å): 7.7263 7.7263 7.7263
angles (deg): 131.64 100.39 98.93
With the nearest neighbours (Å) after each atom.
Positions (direct):
Sr 0.2226 0.0000 0.2226  6 Cd 3.52-3.53, 10 In 3.85-3.91
Sr 0.7774 0.0000 0.7774  6 Cd 3.52-3.53, 10 In 3.85-3.91
Cd 0.1139 0.3503 0.7635  5 In 2.96-3.27, 1 Cd 3.01
Cd 0.4132 0.6497 0.7635  5 In 2.96-3.27, 1 Cd 3.01
Cd 0.5868 0.3503 0.2365  5 In 2.96-3.27, 1 Cd 3.01
Cd 0.8861 0.6497 0.2365  5 In 2.96-3.27, 1 Cd 3.01
In 0.0000 0.5000 0.5000  4 Cd 3.01, 4 In 3.16
In 0.2764 0.0150 0.7385  4 Cd 2.96-3.27, 3 In 3.02-3.31
In 0.2764 0.5379 0.2615  4 Cd 2.96-3.27, 3 In 3.02-3.31
In 0.7236 0.4621 0.7385  4 Cd 2.96-3.27, 3 In 3.02-3.31
In 0.7236 0.9850 0.2615  4 Cd 2.96-3.27, 3 In 3.02-3.31

- crystal system = orthorhombic
- mass density (g/cm3) = 6.33
- ΔH_f (0 K) (eV per formula unit) = -2.2
- DFT total energy (eV per atom) = -2.084
- total magnetic moment (μB per formula unit) = 0.00



Material: Sr8LiCd2
Method: DFT, PBE
State: relaxed

a b c (Å): 10.7651 10.7651 8.4111
angles (deg): 107.51 107.51 31.40
With the nearest neighbours (Å) after each atom.
Positions (direct):
Sr 0.0313 0.0313 0.2788  1 Cd 3.41, 2 Li 3.62
Sr 0.1980 0.1980 0.8101  1 Cd 3.41
Sr 0.3271 0.3271 0.5361  3 Cd 3.38-3.69, 1 Li 3.69
Sr 0.4026 0.4026 0.0284  2 Cd 3.65, 1 Li 3.85, 6 Sr 3.94-4.06
Sr 0.5974 0.5974 0.9716  2 Cd 3.65, 1 Li 3.85, 6 Sr 3.94-4.06
Sr 0.6729 0.6729 0.4639  3 Cd 3.38-3.69, 1 Li 3.69
Sr 0.8020 0.8020 0.1899  1 Cd 3.41
Sr 0.9687 0.9687 0.7212  1 Cd 3.41, 2 Li 3.62
Li 0.5000 0.5000 0.5000  8 Sr 3.62-3.85
Cd 0.1838 0.1838 0.2034  7 Sr 3.38-3.69
Cd 0.8162 0.8162 0.7966  7 Sr 3.38-3.69

- crystal system = monoclinic
- mass density (g/cm3) = 3.21
- ΔH_f (0 K) (eV per formula unit) = -1.0
- DFT total energy (eV per atom) = -1.654
- total magnetic moment (μB per formula unit) = 0.00



Material: BeSeBr2
Method: DFT, PBE
State: relaxed

a b c (Å): 12.1335 12.1335 12.1335
angles (deg): 15.81 15.81 15.81
With the nearest neighbours (Å) after each atom.
Positions (direct):
Be 0.0000 0.0000 0.0000  6 Br 2.38
Se 0.5000 0.5000 0.5000  6 Se 3.34
Br 0.3723 0.3723 0.3723  3 Be 2.38
Br 0.6277 0.6277 0.6277  3 Be 2.38

- crystal system = trigonal
- E_form (uncorrected) (eV per atom) = -0.19
- mass density (g/cm3) = 3.56
- DFT total energy (eV per atom) = -2.828
- total magnetic moment (μB per formula unit) = 0.45



Material: Mg2HRu2
Method: DFT, PBE
State: relaxed

a b c (Å): 7.7879 7.7879 7.7879
angles (deg): 154.35 154.35 36.59
With the nearest neighbours (Å) after each atom.
Positions (direct):
Mg 0.0989 0.0989 0.0000  4 Ru 2.83, 4 H 2.85, 1 Mg 2.92
Mg 0.9011 0.9011 0.0000  4 Ru 2.83, 4 H 2.85, 1 Mg 2.92
H 0.5000 0.5000 0.0000  8 Mg 2.85
Ru 0.2500 0.7500 0.5000  4 Ru 2.44
Ru 0.7500 0.2500 0.5000  4 Ru 2.44

- crystal system = tetragonal
- mass density (g/cm3) = 4.73
- DFT total energy (eV per atom) = -4.454
- total magnetic moment (μB per formula unit) = 0.00



Material: RbMg2NiGe
Method: DFT, PBE
State: relaxed

a b c (Å): 5.8241 5.8241 4.6559
angles (deg): 90.00 90.00 90.00
With the nearest neighbours (Å) after each atom.
Positions (direct):
Rb 0.0000 0.0000 0.0000  2 Ni 2.33
Mg 0.0000 0.5000 0.0000  2 Rb 2.91
Mg 0.5000 0.0000 0.0000  2 Rb 2.91
Ni 0.0000 0.0000 0.5000  2 Rb 2.33
Ge 0.5000 0.5000 0.5000  8 Mg 3.73, 4 Ni 4.12

- crystal system = tetragonal
- mass density (g/cm3) = 2.79
- ΔH_f (0 K) (eV per formula unit) = 8.0
- DFT total energy (eV per atom) = -1.310
- total magnetic moment (μB per formula unit) = 0.00